(1)
The following is a PBE calculation of an optimized crystal structure of TiMnW3, from Alexandria via LeMat-Bulk.

abc: 4.475 4.475 4.475
angles: 90.00 90.00 90.00
Positions (direct):
Mn 0.000 0.000 0.000
W 0.000 0.500 0.000
W 0.000 0.000 0.500
W 0.500 0.000 0.000
Ti 0.500 0.500 0.500

Properties
Energy of formation = 1.17 eV/atom
Space group = Pm-3m

=====

(2)
The following is a PBE calculation of an optimized crystal structure of FeCu2Pt9, from Alexandria via LeMat-Bulk.

abc: 3.911 3.911 11.689
angles: 90.00 90.00 90.00
Positions (direct):
Fe 0.000 0.000 0.000
Cu 0.000 0.000 0.334
Cu 0.000 0.000 0.666
Pt 0.500 0.500 0.000
Pt 0.500 0.500 0.333
Pt 0.500 0.500 0.667
Pt 0.500 0.000 0.165
Pt 0.500 0.000 0.500
Pt 0.500 0.000 0.835
Pt 0.000 0.500 0.165
Pt 0.000 0.500 0.500
Pt 0.000 0.500 0.835

Properties
Energy of formation = -0.15 eV/atom
Space group = P4/mmm

=====

(3)
The following is a PBE calculation of an optimized crystal structure of Y3Zr2Sb3, from Alexandria via LeMat-Bulk.

abc: 6.029 8.812 8.812
angles: 120.00 90.00 90.00
Positions (direct):
Y 0.750 0.251 0.000
Y 0.750 0.749 0.749
Y 0.750 0.000 0.251
Y 0.250 0.749 0.000
Y 0.250 0.251 0.251
Y 0.250 0.000 0.749
Zr 0.000 0.333 0.667
Zr 0.500 0.667 0.333
Zr 0.000 0.667 0.333
Zr 0.500 0.333 0.667
Sb 0.750 0.607 0.000
Sb 0.750 0.393 0.393
Sb 0.750 0.000 0.607
Sb 0.250 0.393 0.000
Sb 0.250 0.607 0.607
Sb 0.250 0.000 0.393

Properties
E_form (uncorrected) = -20.96 kcal/mol of atoms
Space group = P6_3/mcm

=====

(4)
The following is a PBE calculation of an optimized crystal structure of NaMgV, from Alexandria via LeMat-Bulk.

abc: 3.564 3.564 11.594
angles: 90.00 90.00 90.00
Positions (direct):
Na 0.000 0.500 0.237
Na 0.500 0.000 0.763
Mg 0.000 0.000 0.500
Mg 0.500 0.500 0.500
V 0.000 0.500 0.973
V 0.500 0.000 0.027

Properties
Energy of formation = 0.82 eV/atom
Offset from the most stable computed form = 0.620 eV/atom
Space group = P4/nmm

=====

| no. | total magnetic moment (μB/f.u.) | total DFT energy (no corrections) (eV/atom) |
| --- | --- | --- |
| 1 | 0.0 | -10.02 |
| 2 | 4.2 | -6.07 |
| 3 | 0.0 | -7.02 |
| 4 | 0.0 | -3.19 |